A | Computed, not measured: an optimized crystal structure of TaFe3Pb at the PBE-GGA level of DFT.

Summary:
- Calculated density: 9.3 g/cm³

a b c (Å): 4.634 4.634 4.634
angles (deg): 90.00 90.00 90.00
Positions (direct):
Pb: 0.500 0.500 0.500
Fe: 0.000 0.500 0.000
Fe: 0.000 0.000 0.500
Fe: 0.500 0.000 0.000
Ta: 0.000 0.000 0.000

B | Computed, not measured: an optimized crystal structure of TaFe3Pb at the PBE-GGA level of DFT.

Summary:
- Calculated density: 9.7 g/cm³

a b c (Å): 4.571 4.571 4.571
angles (deg): 90.00 90.00 90.00
Positions (direct):
Pb: 0.000 0.000 0.000
Fe: 0.000 0.500 0.000
Fe: 0.000 0.000 0.500
Fe: 0.500 0.000 0.000
Ta: 0.500 0.500 0.500

Pick the least stable structure from those above. Pick: B